The following is a DFT calculation (PBE) of crystalline NdLu2Al at its relaxed geometry.

Structure (POSCAR):
```
NdLu2Al
1.0
0.000 3.768 3.768
3.768 0.000 3.768
3.768 3.768 0.000
Nd Lu Al
1 2 1
Cartesian
0.000 0.000 0.000
1.884 1.884 1.884
5.652 5.652 5.652
3.768 3.768 3.768
```

Results
- D(E_F) (states/eV per atom) = 1.620
- ρ (g/cm³) = 8.088
- DFT formation energy (meV/atom) = 28.8
- E_tot (eV for the cell shown) = -17.44



The following is a DFT calculation (PBE) of crystalline NdLuAl2 at its relaxed geometry.

Structure (POSCAR):
```
NdLuAl2
1.0
0.000 3.632 3.632
3.632 0.000 3.632
3.632 3.632 0.000
Nd Lu Al
1 1 2
Cartesian
0.000 0.000 0.000
3.632 3.632 3.632
1.816 1.816 1.816
5.448 5.448 5.448
```

Results
- D(E_F) (states/eV per atom) = 0.425
- ρ (g/cm³) = 6.467
- DFT formation energy (meV/atom) = -353.3
- E_tot (eV for the cell shown) = -18.19



The following is a DFT calculation (PBE) of crystalline NdLu2Al at its relaxed geometry.

Structure (POSCAR):
```
NdLu2Al
1.0
4.751 0.000 0.000
0.000 4.751 0.000
0.000 0.000 4.752
Nd Lu Al
1 2 1
Cartesian
0.000 0.000 0.000
0.000 2.376 2.376
2.376 0.000 2.376
2.376 2.376 0.000
```

Results
- D(E_F) (states/eV per atom) = 1.154
- ρ (g/cm³) = 8.067
- DFT formation energy (meV/atom) = -170.4
- E_tot (eV for the cell shown) = -18.23



The following is a DFT calculation (PBE) of crystalline NdLuAl2 at its relaxed geometry.

Structure (POSCAR):
```
NdLuAl2
1.0
3.630 0.000 0.000
0.000 3.630 0.000
0.000 0.000 7.227
Nd Lu Al
1 1 2
Cartesian
0.000 0.000 0.000
0.000 0.000 3.613
1.815 1.815 1.974
1.815 1.815 5.253
```

Results
- D(E_F) (states/eV per atom) = 0.440
- ρ (g/cm³) = 6.507
- DFT formation energy (meV/atom) = -371.7
- E_tot (eV for the cell shown) = -18.26



The following is a DFT calculation (PBE) of crystalline NdLu2Al at its relaxed geometry.

Structure (POSCAR):
```
NdLu2Al
1.0
1.706 0.985 11.391
-1.706 0.985 11.391
0.000 -1.970 11.391
Nd Lu Al
1 2 1
Cartesian
0.000 0.000 0.000
0.000 0.000 3.434
0.000 0.000 30.738
0.000 0.000 17.086
```

Results
- D(E_F) (states/eV per atom) = 1.500
- ρ (g/cm³) = 7.536
- DFT formation energy (meV/atom) = 84.7
- E_tot (eV for the cell shown) = -17.21



The following is a DFT calculation (PBE) of crystalline NdLu2Al at its relaxed geometry.

Structure (POSCAR):
```
NdLu2Al
1.0
3.498 0.000 0.000
0.000 3.498 0.000
0.000 0.000 8.908
Nd Lu Al
1 2 1
Cartesian
0.000 0.000 0.000
1.749 1.749 2.603
1.749 1.749 6.306
0.000 0.000 4.454
```

Results
- D(E_F) (states/eV per atom) = 0.718
- ρ (g/cm³) = 7.941
- DFT formation energy (meV/atom) = -201.3
- E_tot (eV for the cell shown) = -18.36